This record from the Alexandria database describes an optimized crystal structure of TiZnPd2. The functional is PBE.

Lattice parameters (Å, degrees): 6.934 6.934 5.533 90.00 90.00 90.00
Fractional coordinates of all 16 atoms:
Ti (0.000, 0.000, 0.000)
Ti (0.000, 0.500, 0.250)
Ti (0.500, 0.000, 0.750)
Ti (0.500, 0.500, 0.500)
Zn (0.000, 0.000, 0.500)
Zn (0.000, 0.500, 0.750)
Zn (0.500, 0.000, 0.250)
Zn (0.500, 0.500, 0.000)
Pd (0.244, 0.250, 0.125)
Pd (0.250, 0.744, 0.375)
Pd (0.250, 0.756, 0.875)
Pd (0.256, 0.250, 0.625)
Pd (0.744, 0.750, 0.625)
Pd (0.750, 0.244, 0.875)
Pd (0.750, 0.256, 0.375)
Pd (0.756, 0.750, 0.125)

Values from the calculation:
formation energy: -15 kJ per mole of atoms
mass density: 8.1 g/cm³